This record from Alexandria via LeMat-Bulk describes an optimized crystal structure of VInCu2. The functional is PBE.

Cell: 3.9878 3.9878 3.8040 Å, 90.00 90.00 90.00°
Last column: nearest neighbours and their distance in Å.
Space group P4/mmm (No. 123)
One atom of each set of equivalent atoms:
V  0.0000  0.0000  0.0000 [1 per cell]  8 Cu 2.76, 4 In 2.82
In  0.5000  0.5000  0.0000 [1 per cell]  8 Cu 2.76, 4 V 2.82
Cu  0.0000  0.5000  0.5000 [2 per cell]  4 In 2.76, 4 V 2.76, 4 Cu 2.82

crystal system	tetragonal
DFT total energy	-4.82	eV/atom
energy of formation	0.1955	eV per atom
calculated volume	15.123	Å³/atom